# 1
SrCdP4O12 | GGA-PBEsol | relaxed

## Properties
- M_tot (μB per formula unit) = 0.001
- space group = P2_1/c (14)
- formation energy without anion corrections (eV per atom) = -2.266

POSCAR file:
```
SrCdP4O12
1.0
-4.059 1.749 -5.546
4.203 -6.268 -5.052
-9.908 -10.144 4.343
O P Sr Cd
48 16 4 4
Direct
0.437 0.499 0.695
0.418 0.182 0.411
0.821 0.595 0.761
0.699 0.855 0.834
0.928 0.857 0.571
0.246 0.768 0.945
0.709 0.097 0.912
0.254 0.208 0.744
0.321 0.905 0.261
0.339 0.854 0.460
0.291 0.903 0.088
0.179 0.405 0.239
0.254 0.268 0.555
0.918 0.318 0.911
0.219 0.182 0.914
0.937 0.001 0.195
0.063 0.999 0.805
0.587 0.998 0.162
0.801 0.355 0.666
0.754 0.292 0.244
0.754 0.232 0.055
0.582 0.818 0.589
0.839 0.646 0.960
0.708 0.037 0.382
0.428 0.643 0.071
0.719 0.318 0.414
0.246 0.708 0.756
0.781 0.818 0.086
0.292 0.963 0.618
0.572 0.357 0.929
0.913 0.498 0.338
0.413 0.002 0.838
0.792 0.537 0.118
0.208 0.463 0.882
0.661 0.146 0.540
0.301 0.145 0.166
0.087 0.502 0.662
0.199 0.645 0.334
0.791 0.597 0.588
0.161 0.354 0.040
0.746 0.732 0.445
0.746 0.792 0.256
0.082 0.682 0.089
0.679 0.095 0.739
0.281 0.682 0.586
0.072 0.143 0.429
0.563 0.501 0.305
0.209 0.403 0.412
0.364 0.989 0.176
0.364 0.842 0.561
0.136 0.489 0.324
0.770 0.758 0.544
0.864 0.658 0.061
0.230 0.099 0.819
0.230 0.242 0.456
0.730 0.258 0.956
0.270 0.742 0.044
0.864 0.511 0.676
0.270 0.599 0.681
0.136 0.342 0.939
0.770 0.901 0.181
0.730 0.401 0.319
0.636 0.011 0.824
0.636 0.158 0.439
0.017 0.893 0.365
0.517 0.607 0.865
0.983 0.107 0.635
0.483 0.393 0.135
0.500 0.259 0.654
0.000 0.759 0.846
0.500 0.741 0.346
0.000 0.241 0.154
```

***

# 2
TaBe3 | GGA-PBEsol | relaxed

## Properties
- M_tot (μB per formula unit) = 0.000
- energy relative to the elements (kJ/mol of atoms) = 23.4
- space group = Pmm2 (25)

POSCAR file:
```
TaBe3
1.0
2.508 0.000 0.000
0.000 3.497 0.000
0.000 0.000 5.032
Be Ta
3 1
Direct
0.500 0.000 0.580
0.000 0.000 0.939
0.500 0.500 0.826
0.000 0.500 0.321
```

***

# 3
MgAgAu2 | GGA-PBEsol | relaxed

## Properties
- M_tot (μB per formula unit) = 0.000
- energy relative to the elements (kJ/mol of atoms) = -35.2
- space group = I-4m2 (119)

POSCAR file:
```
MgAgAu2
1.0
4.063 0.000 0.000
0.000 4.063 0.000
-2.031 -2.031 4.093
Mg Au Ag
1 2 1
Direct
0.500 0.500 0.000
0.750 0.250 0.500
0.000 0.000 0.000
0.250 0.750 0.500
```

***

# 4
CoAgPb2 | GGA-PBEsol | relaxed

## Properties
- M_tot (μB per formula unit) = 0.894
- energy relative to the elements (kJ/mol of atoms) = 36.4
- space group = P2/m (10)

POSCAR file:
```
CoAgPb2
1.0
-1.044 2.947 -0.749
-1.674 -1.220 -2.467
-5.598 -0.576 5.535
Ag Pb Co
1 2 1
Direct
0.500 0.500 0.500
0.000 0.955 0.788
0.000 0.045 0.212
0.500 0.500 0.000
```

***

# 5
SrBeCr2 | GGA-PBEsol | relaxed

## Properties
- M_tot (μB per formula unit) = 0.643
- energy relative to the elements (kJ/mol of atoms) = 94.2
- space group = F-43m (216)

POSCAR file:
```
SrBeCr2
1.0
-3.510 -2.332 -1.905
0.459 -1.828 -4.224
0.281 -4.587 -0.516
Be Cr Sr
1 2 1
Direct
0.500 0.500 0.500
0.000 0.000 0.000
0.750 0.750 0.750
0.250 0.250 0.250
```

***

# 6
KMgCl3 | GGA-PBEsol | relaxed

## Properties
- M_tot (μB per formula unit) = 0.000
- space group = Pnma (62)
- formation energy without anion corrections (eV per atom) = -1.906

POSCAR file:
```
KMgCl3
1.0
6.885 0.000 0.000
0.000 6.982 0.000
0.000 0.000 9.853
Cl K Mg
12 4 4
Direct
0.291 0.710 0.970
0.291 0.710 0.530
0.709 0.290 0.470
0.791 0.790 0.470
0.209 0.210 0.970
0.791 0.790 0.030
0.558 0.006 0.750
0.058 0.494 0.250
0.209 0.210 0.530
0.942 0.506 0.750
0.709 0.290 0.030
0.442 0.994 0.250
0.489 0.455 0.750
0.511 0.545 0.250
0.989 0.045 0.250
0.011 0.955 0.750
0.500 0.000 0.000
0.000 0.500 0.500
0.000 0.500 0.000
0.500 0.000 0.500
```

***

# 7
IrPbCl3 | GGA-PBEsol | relaxed

## Properties
- M_tot (μB per formula unit) = 3.711
- energy relative to the lowest polymorph listed for this composition (eV/atom) = 0.9430
- space group = Pm-3m (221)
- formation energy without anion corrections (eV per atom) = 0.836

POSCAR file:
```
IrPbCl3
1.0
5.411 0.000 0.000
0.000 5.411 0.000
0.000 0.000 5.411
Cl Ir Pb
3 1 1
Direct
0.000 0.000 0.500
0.000 0.500 0.000
0.500 0.000 0.000
0.500 0.500 0.500
0.000 0.000 0.000
```

***

# 8
Li2RhAu | GGA-PBEsol | relaxed

## Properties
- M_tot (μB per formula unit) = 0.012
- energy relative to the elements (kJ/mol of atoms) = -7.1
- space group = P4mm (99)

POSCAR file:
```
Li2RhAu
1.0
2.842 0.000 0.000
0.000 2.842 0.000
0.000 0.000 6.921
Li Rh Au
2 1 1
Direct
0.000 0.000 0.000
0.500 0.500 0.261
0.000 0.000 0.478
0.500 0.500 0.760
```

***

# 9
Sr4YMg | GGA-PBEsol | relaxed

## Properties
- M_tot (μB per formula unit) = 1.215
- energy relative to the elements (kJ/mol of atoms) = 43.4
- space group = F-43m (216)

POSCAR file:
```
Sr4YMg
1.0
7.157 0.000 0.000
3.579 6.199 0.000
3.579 2.066 5.844
Sr Mg Y
4 1 1
Direct
0.375 0.375 0.874
0.375 0.874 0.375
0.874 0.375 0.375
0.375 0.375 0.375
0.000 0.000 0.000
0.750 0.750 0.750
```

***

# 10
MoSe3 | GGA-PBEsol | relaxed

## Properties
- M_tot (μB per formula unit) = 0.000
- space group = Immm (71)
- formation energy without anion corrections (eV per atom) = 0.033

POSCAR file:
```
MoSe3
1.0
-2.178 -0.768 2.040
2.138 -3.725 0.880
3.025 4.972 2.774
Mo Se
1 3
Direct
0.000 0.000 0.000
0.676 0.176 0.351
0.500 0.500 0.000
0.324 0.824 0.649
```

***

# 11
Zn3Au | GGA-PBEsol | relaxed

## Properties
- M_tot (μB per formula unit) = 0.000
- energy relative to the elements (kJ/mol of atoms) = -7.9
- space group = P-6m2 (187)

POSCAR file:
```
Zn3Au
1.0
-2.361 1.422 -0.790
0.308 -2.765 -0.695
-3.731 -2.214 7.158
Zn Au
3 1
Direct
0.000 0.000 0.500
0.667 0.333 0.257
0.667 0.333 0.743
0.000 0.000 0.000
```

***

# 12
InTcBr2 | GGA-PBEsol | relaxed

## Properties
- M_tot (μB per formula unit) = 0.000
- energy relative to the lowest polymorph listed for this composition (eV/atom) = 0.1643
- space group = R-3m (166)
- formation energy without anion corrections (eV per atom) = 0.348

POSCAR file:
```
InTcBr2
1.0
3.155 0.000 0.000
1.577 2.732 0.000
1.577 0.911 10.154
Tc In Br
1 1 2
Direct
0.000 0.000 0.000
0.500 0.500 0.500
0.077 0.077 0.769
0.923 0.923 0.231
```

***

# 13
PW2O8 | GGA-PBEsol | relaxed

## Properties
- M_tot (μB per formula unit) = 0.000
- space group = P2_12_12_1 (19)
- formation energy without anion corrections (eV per atom) = -2.192

POSCAR file:
```
PW2O8
1.0
-5.146 1.167 -0.788
-1.265 -6.395 -1.213
-3.196 -2.598 17.019
W O P
8 32 4
Direct
0.249 0.413 0.044
0.749 0.749 0.128
0.749 0.087 0.956
0.251 0.587 0.544
0.751 0.251 0.628
0.251 0.249 0.372
0.751 0.913 0.456
0.249 0.751 0.872
0.483 0.929 0.171
0.003 0.752 0.500
0.492 0.067 0.673
0.997 0.252 0.000
0.749 0.910 0.041
0.251 0.756 0.638
0.000 0.583 0.093
0.017 0.071 0.671
0.004 0.921 0.908
0.500 0.917 0.907
0.749 0.256 0.862
0.752 0.386 0.728
0.008 0.933 0.173
0.751 0.744 0.362
0.992 0.433 0.327
0.248 0.886 0.772
0.500 0.417 0.593
0.497 0.248 0.000
0.249 0.244 0.138
0.252 0.114 0.272
0.496 0.079 0.408
0.751 0.090 0.541
0.748 0.614 0.228
0.504 0.579 0.092
0.508 0.567 0.827
0.503 0.748 0.500
0.983 0.571 0.829
0.249 0.590 0.959
0.251 0.410 0.459
0.996 0.421 0.592
0.000 0.083 0.407
0.517 0.429 0.329
0.248 0.054 0.187
0.752 0.554 0.313
0.252 0.946 0.687
0.748 0.446 0.813
```

***

# 14
CoMo3 | GGA-PBEsol | relaxed

## Properties
- M_tot (μB per formula unit) = 0.001
- energy relative to the elements (kJ/mol of atoms) = 22.4
- space group = C2/m (12)

POSCAR file:
```
CoMo3
1.0
-0.351 0.527 -2.582
3.621 -2.854 -1.075
-3.265 -3.226 1.153
Mo Co
3 1
Direct
0.269 0.766 0.539
0.500 0.500 0.000
0.731 0.234 0.461
0.000 0.000 0.000
```

***

# 15
AlAu3 | GGA-PBEsol | relaxed

## Properties
- M_tot (μB per formula unit) = 0.000
- energy relative to the elements (kJ/mol of atoms) = -21.0
- space group = Pmm2 (25)

POSCAR file:
```
AlAu3
1.0
3.202 0.000 0.000
0.000 4.422 0.000
0.000 0.000 4.682
Au Al
3 1
Direct
0.500 0.000 0.490
0.000 0.500 0.341
0.500 0.500 0.858
0.000 0.000 0.977
```

***

# 16
NaLi2Ta | GGA-PBEsol | relaxed

## Properties
- M_tot (μB per formula unit) = 0.001
- energy relative to the elements (kJ/mol of atoms) = 107.1
- space group = Fm-3m (225)

POSCAR file:
```
NaLi2Ta
1.0
-4.329 -0.896 1.612
-2.952 -2.651 -2.531
-1.116 -4.331 1.463
Ta Na Li
1 1 2
Direct
0.500 0.500 0.500
0.000 0.000 0.000
0.750 0.750 0.750
0.250 0.250 0.250
```

***

# 17
Re3PN | GGA-PBEsol | relaxed

## Properties
- M_tot (μB per formula unit) = 0.000
- space group = Pm-3m (221)
- formation energy without anion corrections (eV per atom) = 2.272

POSCAR file:
```
Re3PN
1.0
4.309 0.000 0.000
0.000 4.309 0.000
0.000 0.000 4.309
Re P N
3 1 1
Direct
0.000 0.500 0.000
0.500 0.000 0.000
0.000 0.000 0.500
0.000 0.000 0.000
0.500 0.500 0.500
```

***

# 18
RbGa2F2 | GGA-PBEsol | relaxed

## Properties
- M_tot (μB per formula unit) = 0.000
- space group = I4/mmm (139)
- formation energy without anion corrections (eV per atom) = -1.186

POSCAR file:
```
RbGa2F2
1.0
-3.721 2.023 -1.649
-1.941 -4.065 -0.606
0.871 1.254 5.835
F Ga Rb
2 2 1
Direct
0.250 0.750 0.500
0.750 0.250 0.500
0.341 0.341 0.681
0.659 0.659 0.319
0.000 0.000 0.000
```

***

# 19
AlCrInSi2 | GGA-PBEsol | relaxed

## Properties
- M_tot (μB per formula unit) = 0.000
- space group = P4/mmm (123)
- formation energy without anion corrections (eV per atom) = 0.274

POSCAR file:
```
AlCrInSi2
1.0
-1.719 0.995 4.023
3.875 -1.157 1.942
1.544 4.438 -0.438
Si Cr Al In
2 1 1 1
Direct
0.000 0.500 0.000
0.500 0.000 0.000
0.000 0.000 0.000
0.000 0.000 0.500
0.500 0.500 0.500
```

***

# 20
CsBePO2 | GGA-PBEsol | relaxed

## Properties
- M_tot (μB per formula unit) = 0.000
- energy relative to the lowest polymorph listed for this composition (eV/atom) = 1.3044
- space group = P4/mmm (123)
- formation energy without anion corrections (eV per atom) = 1.294

POSCAR file:
```
CsBePO2
1.0
-3.733 -1.773 0.340
1.649 -3.666 -1.017
1.033 -1.097 5.625
O P Be Cs
2 1 1 1
Direct
0.500 0.000 0.000
0.000 0.500 0.000
0.000 0.000 0.500
0.500 0.500 0.500
0.000 0.000 0.000
```